Here is a relaxed structure of CdH2Br from Alexandria via LeMat-Bulk. Energies are from PBE.

Its space group is No. 14. The distance to the lowest polymorph of the same formula comes out at 0.000 eV/atom. The calculation puts the spin magnetization at 0.000 Bohr magnetons per cell.

Unit cell a=4.082 b=3.724 c=23.613 alpha=90.00 beta=99.45 gamma=90.00
Element x y z (fractional)
Cd (0.047, 0.236, 0.298)
Cd (0.047, 0.264, 0.798)
Cd (0.953, 0.736, 0.202)
Cd (0.953, 0.764, 0.702)
H (0.134, 0.746, 0.474)
H (0.134, 0.754, 0.974)
H (0.307, 0.748, 0.468)
H (0.307, 0.752, 0.968)
H (0.693, 0.248, 0.032)
H (0.693, 0.252, 0.532)
H (0.866, 0.246, 0.026)
H (0.866, 0.254, 0.526)
Br (0.384, 0.737, 0.129)
Br (0.384, 0.763, 0.629)
Br (0.616, 0.237, 0.371)
Br (0.616, 0.263, 0.871)